8
Lattice="3.734 0.000 0.000 0.000 3.734 0.000 0.000 0.000 9.096" Properties=species:S:1:pos:R:3 comment="SiPAuO | the Open Quantum Materials Database | PBE | optimized geometry" de_polymorph_mev_per_atom=888 crystal_system=tetragonal sg="P4/nmm, No. 129" final_energy_ev_per_cell=-39.0 pbc="T T T"
Au 0.000 0.000 4.548
Au 1.867 1.867 4.548
O 0.000 0.000 0.000
O 1.867 1.867 0.000
P 1.867 0.000 2.785
P 0.000 1.867 6.311
Si 0.000 1.867 0.902
Si 1.867 0.000 8.194